Li2TlB2Rh5: optimized geometry, PBE-GGA.

Output
- E_form: -0.2850 eV per atom

Cell lengths 9.7306, 9.7306, 2.9341 Å; angles 90.00, 90.00, 90.00 degrees
Space group P4/mbm (No. 127)
Inequivalent atoms, fractional coordinates:
Li (0.1758, 0.3242, 0.0000) (multiplicity 4)
Tl (0.0000, 0.0000, 0.0000) (multiplicity 2)
B (0.1215, 0.6215, 0.0000) (multiplicity 4)
Rh (0.0000, 0.5000, 0.5000) (multiplicity 2)
Rh (0.0719, 0.7711, 0.5000) (multiplicity 8)